A plane-wave DFT calculation with PBE was carried out for crystalline FeTc2Rh at its relaxed geometry.

abc: 5.3099 7.7644 2.6611
angles: 90.00 90.00 90.00
Space group Cmmm (No. 65)
Symmetry-distinct sites (fractional):
Fe 0.0000 0.0000 0.0000 x2
Tc 0.2500 0.2500 0.5000 x4
Rh 0.0000 0.5000 0.0000 x2

Computed properties:
The value obtained for the density of states at the Fermi level is 1.027 states/eV/atom. As for the total magnetic moment: 0.43 μB/atom. For the calculated formation energy, the calculation gives 38 meV/atom. The calculation puts the energy above the most stable polymorph in this dataset at 36 meV/atom. The calculation puts the energy at -9.098 eV per atom.



A plane-wave DFT calculation with PBE was carried out for crystalline FeTc2Rh at its relaxed geometry.

abc: 6.0920 6.0920 6.0920
angles: 90.00 90.00 90.00
Space group F-43m (No. 216)
Symmetry-distinct sites (fractional):
Fe 0.0000 0.0000 0.0000 x4
Tc 0.0000 0.0000 0.5000 x4
Tc 0.2500 0.2500 0.2500 x4
Rh 0.2500 0.2500 0.7500 x4

Computed properties:
The value obtained for the density of states at the Fermi level is 1.864 states/eV/atom. As for the total magnetic moment: 0.65 μB/atom. For the calculated formation energy, the calculation gives 223 meV/atom. The calculation puts the energy above the most stable polymorph in this dataset at 221 meV/atom. The calculation puts the energy at -8.914 eV per atom.



A plane-wave DFT calculation with PBE was carried out for crystalline FeTc2Rh at its relaxed geometry.

abc: 3.8226 3.8226 7.4963
angles: 90.00 90.00 90.00
Space group I-4m2 (No. 119)
Symmetry-distinct sites (fractional):
Fe 0.0000 0.0000 0.0000 x2
Tc 0.0000 0.0000 0.5000 x2
Tc 0.0000 0.5000 0.2500 x2
Rh 0.0000 0.5000 0.7500 x2

Computed properties:
The value obtained for the density of states at the Fermi level is 1.039 states/eV/atom. As for the total magnetic moment: 0.39 μB/atom. For the calculated formation energy, the calculation gives 26 meV/atom. The calculation puts the energy above the most stable polymorph in this dataset at 24 meV/atom. The calculation puts the energy at -9.110 eV per atom.